(1)
## KNbRh2 (PBE)

Data for KNbRh2 after structural relaxation.

```
KNbRh2
1.0
7.393 0.000 0.000
0.000 7.393 0.000
3.696 3.696 3.199
Nb K Rh
2 2 4
Cartesian
0.000 0.000 0.000 Nb
7.393 3.696 1.599 Nb
3.696 3.696 0.000 K
3.696 7.393 1.599 K
9.241 9.663 2.399 Rh
5.545 5.123 2.399 Rh
5.966 1.848 0.800 Rh
1.426 5.545 0.800 Rh
```

Values from the calculation:
Fermi-level density of states = 3.1 states/eV per cell
Crystal system = tetragonal
Distance to the lowest polymorph of the same formula = 0 meV per atom
Formation energy from the elements = 0.578 eV/atom

---

(2)
## CdIn2Ir (PBE)

Data for CdIn2Ir after structural relaxation.

```
CdIn2Ir
1.0
-2.214 3.239 1.230
-3.667 -2.107 -1.053
-0.199 -1.664 4.023
In Cd Ir
2 1 1
Cartesian
-1.933 -1.885 1.485 In
0.000 0.000 0.000 In
-1.207 0.788 2.626 Cd
-2.940 0.566 0.089 Ir
```

Values from the calculation:
Fermi-level density of states = 1.4 states/eV per cell
Crystal system = tetragonal
Formation energy from the elements = 0.160 eV/atom

---

In Å³/atom, the calculated volume values for the records above are, in order, 21.9, 19.5.